# 1
Here is an optimized crystal structure of SiPdAu2 from the Alexandria database. Energies are from PBE-GGA.

The structure in CIF format:
```
data_SiPdAu2
_chemical_formula_sum 'Si2 Pd2 Au4'
_symmetry_space_group_name_H-M 'P 1'
_symmetry_Int_Tables_number 1
_cell_length_a 7.271
_cell_length_b 7.271
_cell_length_c 5.778
_cell_angle_alpha 51.01
_cell_angle_beta 51.01
_cell_angle_gamma 90.00
loop_
_symmetry_equiv_pos_as_xyz
'x,y,z'
loop_
_atom_site_label
_atom_site_type_symbol
_atom_site_fract_x
_atom_site_fract_y
_atom_site_fract_z
Si1 Si 0.500 0.500 0.000
Si2 Si 0.250 0.750 0.500
Au1 Au 0.585 0.125 0.250
Au2 Au 0.165 0.625 0.250
Au3 Au 0.375 0.415 0.750
Au4 Au 0.875 0.835 0.750
Pd1 Pd 0.000 0.000 0.000
Pd2 Pd 0.750 0.250 0.500
```

- E_form (uncorrected): -0.18 eV/f.u.
- Space group: I-42d (122)

=====

# 2
Here is an optimized crystal structure of Cd5In2Ag12 from the Alexandria database. Energies are from PBE-GGA.

The structure in CIF format:
```
data_Cd5In2Ag12
_chemical_formula_sum 'Cd5 In2 Ag12'
_symmetry_space_group_name_H-M 'P 1'
_symmetry_Int_Tables_number 1
_cell_length_a 7.963
_cell_length_b 7.963
_cell_length_c 7.822
_cell_angle_alpha 107.54
_cell_angle_beta 108.37
_cell_angle_gamma 113.23
loop_
_symmetry_equiv_pos_as_xyz
'x,y,z'
loop_
_atom_site_label
_atom_site_type_symbol
_atom_site_fract_x
_atom_site_fract_y
_atom_site_fract_z
Cd1 Cd 0.614 0.301 0.916
Cd2 Cd 0.942 0.312 0.254
Cd3 Cd 0.500 0.000 0.500
Cd4 Cd 0.058 0.688 0.746
Cd5 Cd 0.386 0.699 0.084
In1 In 0.251 0.251 0.000
In2 In 0.749 0.749 0.000
Ag1 Ag 0.820 0.897 0.717
Ag2 Ag 0.619 0.429 0.599
Ag3 Ag 0.171 0.980 0.599
Ag4 Ag 0.062 0.672 0.195
Ag5 Ag 0.522 0.133 0.195
Ag6 Ag 0.741 0.591 0.332
Ag7 Ag 0.259 0.409 0.668
Ag8 Ag 0.938 0.328 0.805
Ag9 Ag 0.478 0.867 0.805
Ag10 Ag 0.381 0.571 0.401
Ag11 Ag 0.829 0.020 0.401
Ag12 Ag 0.180 0.103 0.283
```

- Space group: C2/m (12)
- Energy relative to the elements: 0.03 kcal/mol of atoms

=====

# 3
Here is an optimized crystal structure of CrBAu from the Alexandria database. Energies are from PBE-GGA.

The structure in CIF format:
```
data_CrBAu
_chemical_formula_sum 'Cr1 B1 Au1'
_symmetry_space_group_name_H-M 'P 1'
_symmetry_Int_Tables_number 1
_cell_length_a 2.903
_cell_length_b 4.442
_cell_length_c 2.905
_cell_angle_alpha 90.00
_cell_angle_beta 90.00
_cell_angle_gamma 90.00
loop_
_symmetry_equiv_pos_as_xyz
'x,y,z'
loop_
_atom_site_label
_atom_site_type_symbol
_atom_site_fract_x
_atom_site_fract_y
_atom_site_fract_z
Cr1 Cr 0.500 0.500 0.633
B1 B 0.000 0.500 0.132
Au1 Au 0.000 0.000 0.068
```

- Space group: Pmm2 (25)
- Energy relative to the elements: 4.79 kcal/mol of atoms

=====

# 4
Here is an optimized crystal structure of Ac3PI from the Alexandria database. Energies are from PBE-GGA.

The structure in CIF format:
```
data_Ac3PI
_chemical_formula_sum 'Ac3 P1 I1'
_symmetry_space_group_name_H-M 'P 1'
_symmetry_Int_Tables_number 1
_cell_length_a 5.911
_cell_length_b 5.911
_cell_length_c 5.911
_cell_angle_alpha 90.00
_cell_angle_beta 90.00
_cell_angle_gamma 90.00
loop_
_symmetry_equiv_pos_as_xyz
'x,y,z'
loop_
_atom_site_label
_atom_site_type_symbol
_atom_site_fract_x
_atom_site_fract_y
_atom_site_fract_z
I1 I 0.500 0.500 0.500
P1 P 0.000 0.000 0.000
Ac1 Ac 0.000 0.500 0.000
Ac2 Ac 0.000 0.000 0.500
Ac3 Ac 0.500 0.000 0.000
```

- E_form (uncorrected): -2.54 eV/f.u.
- Space group: Pm-3m (221)

=====

# 5
Here is an optimized crystal structure of TbLuPuAl from the Alexandria database. Energies are from PBE-GGA.

The structure in CIF format:
```
data_TbLuPuAl
_chemical_formula_sum 'Tb1 Lu1 Pu1 Al1'
_symmetry_space_group_name_H-M 'P 1'
_symmetry_Int_Tables_number 1
_cell_length_a 5.270
_cell_length_b 5.270
_cell_length_c 5.270
_cell_angle_alpha 60.00
_cell_angle_beta 60.00
_cell_angle_gamma 60.00
loop_
_symmetry_equiv_pos_as_xyz
'x,y,z'
loop_
_atom_site_label
_atom_site_type_symbol
_atom_site_fract_x
_atom_site_fract_y
_atom_site_fract_z
Lu1 Lu 0.000 0.000 0.000
Tb1 Tb 0.750 0.750 0.750
Al1 Al 0.500 0.500 0.500
Pu1 Pu 0.250 0.250 0.250
```

- Space group: F-43m (216)
- Energy relative to the elements: -0.01 kcal/mol of atoms

=====

# 6
Here is an optimized crystal structure of Ta4AlNi from the Alexandria database. Energies are from PBE-GGA.

The structure in CIF format:
```
data_Ta4AlNi
_chemical_formula_sum 'Ta4 Al1 Ni1'
_symmetry_space_group_name_H-M 'P 1'
_symmetry_Int_Tables_number 1
_cell_length_a 5.381
_cell_length_b 5.381
_cell_length_c 5.381
_cell_angle_alpha 60.00
_cell_angle_beta 60.00
_cell_angle_gamma 60.00
loop_
_symmetry_equiv_pos_as_xyz
'x,y,z'
loop_
_atom_site_label
_atom_site_type_symbol
_atom_site_fract_x
_atom_site_fract_y
_atom_site_fract_z
Ta1 Ta 0.873 0.376 0.376
Ta2 Ta 0.376 0.376 0.873
Ta3 Ta 0.376 0.873 0.376
Ta4 Ta 0.376 0.376 0.376
Al1 Al 0.750 0.750 0.750
Ni1 Ni 0.000 0.000 0.000
```

- Space group: F-43m (216)
- Energy relative to the elements: 11.50 kcal/mol of atoms
- Distance to the lowest polymorph of the same formula: 0.700 eV per atom

=====

# 7
Here is an optimized crystal structure of Fe4IrRh3 from the Alexandria database. Energies are from PBE-GGA.

The structure in CIF format:
```
data_Fe4IrRh3
_chemical_formula_sum 'Fe4 Ir1 Rh3'
_symmetry_space_group_name_H-M 'P 1'
_symmetry_Int_Tables_number 1
_cell_length_a 3.642
_cell_length_b 3.791
_cell_length_c 7.574
_cell_angle_alpha 90.00
_cell_angle_beta 90.00
_cell_angle_gamma 90.00
loop_
_symmetry_equiv_pos_as_xyz
'x,y,z'
loop_
_atom_site_label
_atom_site_type_symbol
_atom_site_fract_x
_atom_site_fract_y
_atom_site_fract_z
Ir1 Ir 0.500 0.500 0.000
Rh1 Rh 0.500 0.000 0.249
Rh2 Rh 0.500 0.500 0.500
Rh3 Rh 0.500 0.000 0.751
Fe1 Fe 0.000 0.000 0.500
Fe2 Fe 0.000 0.500 0.753
Fe3 Fe 0.000 0.000 0.000
Fe4 Fe 0.000 0.500 0.247
```

- Space group: Pmmm (47)
- Energy relative to the elements: -0.30 kcal/mol of atoms

=====

# 8
Here is an optimized crystal structure of Tm3Zr4TaN8 from the Alexandria database. Energies are from PBE-GGA.

The structure in CIF format:
```
data_Tm3Zr4TaN8
_chemical_formula_sum 'Tm3 Zr4 Ta1 N8'
_symmetry_space_group_name_H-M 'P 1'
_symmetry_Int_Tables_number 1
_cell_length_a 6.566
_cell_length_b 6.574
_cell_length_c 6.566
_cell_angle_alpha 119.96
_cell_angle_beta 120.00
_cell_angle_gamma 90.00
loop_
_symmetry_equiv_pos_as_xyz
'x,y,z'
loop_
_atom_site_label
_atom_site_type_symbol
_atom_site_fract_x
_atom_site_fract_y
_atom_site_fract_z
Tm1 Tm 0.500 0.500 0.000
Tm2 Tm 0.500 0.500 0.500
Tm3 Tm 0.000 0.500 0.500
Zr1 Zr 0.500 0.000 0.000
Zr2 Zr 0.500 0.000 0.500
Zr3 Zr 0.000 0.000 0.000
Zr4 Zr 0.000 0.000 0.500
Ta1 Ta 0.000 0.500 0.000
N1 N 0.243 0.748 0.005
N2 N 0.243 0.748 0.486
N3 N 0.247 0.240 0.494
N4 N 0.761 0.748 0.005
N5 N 0.239 0.252 0.995
N6 N 0.753 0.760 0.506
N7 N 0.757 0.252 0.514
N8 N 0.757 0.252 0.995
```

- E_form (uncorrected): -26.40 eV/f.u.
- Space group: R-3m (166)

=====

Repeat the fourth record exactly.
Here is an optimized crystal structure of Ac3PI from the Alexandria database. Energies are from PBE-GGA.

The structure in CIF format:
```
data_Ac3PI
_chemical_formula_sum 'Ac3 P1 I1'
_symmetry_space_group_name_H-M 'P 1'
_symmetry_Int_Tables_number 1
_cell_length_a 5.911
_cell_length_b 5.911
_cell_length_c 5.911
_cell_angle_alpha 90.00
_cell_angle_beta 90.00
_cell_angle_gamma 90.00
loop_
_symmetry_equiv_pos_as_xyz
'x,y,z'
loop_
_atom_site_label
_atom_site_type_symbol
_atom_site_fract_x
_atom_site_fract_y
_atom_site_fract_z
I1 I 0.500 0.500 0.500
P1 P 0.000 0.000 0.000
Ac1 Ac 0.000 0.500 0.000
Ac2 Ac 0.000 0.000 0.500
Ac3 Ac 0.500 0.000 0.000
```

- E_form (uncorrected): -2.54 eV/f.u.
- Space group: Pm-3m (221)